Crystalline ZnBi3N at its relaxed geometry. Source: Alexandria via LeMat-Bulk, functional GGA-PBE.

Geometry as POSCAR:
```
ZnBi3N
1.0
5.305 0.000 0.000
0.000 5.305 0.000
0.000 0.000 5.305
Zn Bi N
1 3 1
Direct
0.000 0.000 0.000 Zn
0.000 0.000 0.500 Bi
0.000 0.500 0.000 Bi
0.500 0.000 0.000 Bi
0.500 0.500 0.500 N
```

Summary:
* energy above the most stable polymorph in this dataset: 0.9974 eV/atom
* formation energy without anion corrections: 1.60 eV/atom

---

Crystalline Zn2BiN at its relaxed geometry. Source: Alexandria via LeMat-Bulk, functional GGA-PBE.

Geometry as POSCAR:
```
Zn2BiN
1.0
-2.965 2.965 4.530
2.965 -2.965 4.530
2.965 2.965 -4.530
Zn Bi N
4 2 2
Direct
0.375 0.211 0.336 Zn
0.789 0.125 0.164 Zn
0.875 0.039 0.664 Zn
0.961 0.625 0.836 Zn
0.250 0.750 0.500 Bi
0.500 0.500 0.000 Bi
0.000 0.000 0.000 N
0.750 0.250 0.500 N
```

Summary:
* energy above the most stable polymorph in this dataset: 0.0000 eV/atom
* formation energy without anion corrections: 0.19 eV/atom

---

Crystalline ZnBiN2 at its relaxed geometry. Source: Alexandria via LeMat-Bulk, functional GGA-PBE.

Geometry as POSCAR:
```
ZnBiN2
1.0
0.000 2.988 2.988
2.988 0.000 2.988
2.988 2.988 0.000
Zn Bi N
1 1 2
Direct
0.000 0.000 0.000 Zn
0.500 0.500 0.500 Bi
0.250 0.250 0.250 N
0.750 0.750 0.750 N
```

Summary:
* energy above the most stable polymorph in this dataset: 0.7692 eV/atom
* formation energy without anion corrections: 1.32 eV/atom

---

Crystalline Zn2BiN at its relaxed geometry. Source: Alexandria via LeMat-Bulk, functional GGA-PBE.

Geometry as POSCAR:
```
Zn2BiN
1.0
0.000 3.317 3.317
3.317 0.000 3.317
3.317 3.317 0.000
Zn Bi N
2 1 1
Direct
0.250 0.250 0.250 Zn
0.750 0.750 0.750 Zn
0.000 0.000 0.000 Bi
0.500 0.500 0.500 N
```

Summary:
* energy above the most stable polymorph in this dataset: 1.0127 eV/atom
* formation energy without anion corrections: 1.21 eV/atom

---

Crystalline ZnBiN2 at its relaxed geometry. Source: Alexandria via LeMat-Bulk, functional GGA-PBE.

Geometry as POSCAR:
```
ZnBiN2
1.0
1.820 1.051 5.997
-1.820 1.051 5.997
0.000 -2.101 5.997
Zn Bi N
1 1 2
Direct
0.000 0.000 0.000 Zn
0.500 0.500 0.500 Bi
0.102 0.102 0.102 N
0.898 0.898 0.898 N
```

Summary:
* energy above the most stable polymorph in this dataset: 0.0965 eV/atom
* formation energy without anion corrections: 0.65 eV/atom

---

Crystalline ZnBiN2 at its relaxed geometry. Source: Alexandria via LeMat-Bulk, functional GGA-PBE.

Geometry as POSCAR:
```
ZnBiN2
1.0
-2.491 2.491 5.125
2.491 -2.491 5.125
2.491 2.491 -5.125
Zn Bi N
2 2 4
Direct
0.000 0.000 0.000 Zn
0.750 0.250 0.500 Zn
0.250 0.750 0.500 Bi
0.500 0.500 0.000 Bi
0.093 0.625 0.968 N
0.375 0.343 0.468 N
0.657 0.125 0.032 N
0.875 0.907 0.532 N
```

Summary:
* energy above the most stable polymorph in this dataset: 0.0000 eV/atom
* formation energy without anion corrections: 0.55 eV/atom

---

Crystalline Zr6Bi3N at its relaxed geometry. Source: Alexandria via LeMat-Bulk, functional GGA-PBE.

Geometry as POSCAR:
```
Zr6Bi3N
1.0
6.064 -7.485 0.000
6.064 7.485 0.000
0.000 0.000 4.833
Zr Bi N
12 6 2
Direct
0.069 0.931 0.500 Zr
0.075 0.583 0.498 Zr
0.254 0.746 0.998 Zr
0.256 0.410 0.998 Zr
0.410 0.256 0.498 Zr
0.417 0.925 0.498 Zr
0.583 0.075 0.998 Zr
0.590 0.744 0.998 Zr
0.744 0.590 0.498 Zr
0.746 0.254 0.498 Zr
0.925 0.417 0.998 Zr
0.931 0.069 0.000 Zr
0.077 0.263 0.499 Bi
0.263 0.077 0.999 Bi
0.413 0.587 0.498 Bi
0.587 0.413 0.998 Bi
0.737 0.923 0.499 Bi
0.923 0.737 0.999 Bi
0.212 0.788 0.498 N
0.788 0.212 0.998 N
```

Summary:
* formation energy without anion corrections: -0.48 eV/atom

---

Crystalline Zr3BiN at its relaxed geometry. Source: Alexandria via LeMat-Bulk, functional GGA-PBE.

Geometry as POSCAR:
```
Zr3BiN
1.0
1.780 -6.128 0.000
1.780 6.128 0.000
0.000 0.000 8.861
Zr Bi N
6 2 2
Direct
0.043 0.957 0.750 Zr
0.383 0.617 0.547 Zr
0.383 0.617 0.953 Zr
0.617 0.383 0.047 Zr
0.617 0.383 0.453 Zr
0.957 0.043 0.250 Zr
0.257 0.743 0.250 Bi
0.743 0.257 0.750 Bi
0.000 0.000 0.000 N
0.000 0.000 0.500 N
```

Summary:
* formation energy without anion corrections: -0.88 eV/atom

---

Crystalline Zr4Bi2N at its relaxed geometry. Source: Alexandria via LeMat-Bulk, functional GGA-PBE.

Geometry as POSCAR:
```
Zr4Bi2N
1.0
-2.249 2.249 7.648
2.249 -2.249 7.648
2.249 2.249 -7.648
Zr Bi N
4 2 1
Direct
0.000 0.500 0.500 Zr
0.147 0.147 0.000 Zr
0.500 0.000 0.500 Zr
0.853 0.853 0.000 Zr
0.349 0.349 0.000 Bi
0.651 0.651 0.000 Bi
0.000 0.000 0.000 N
```

Summary:
* formation energy without anion corrections: -0.61 eV/atom

---

Crystalline Zr2BiN at its relaxed geometry. Source: Alexandria via LeMat-Bulk, functional GGA-PBE.

Geometry as POSCAR:
```
Zr2BiN
1.0
0.000 3.372 3.372
3.372 0.000 3.372
3.372 3.372 0.000
Zr Bi N
2 1 1
Direct
0.250 0.250 0.250 Zr
0.750 0.750 0.750 Zr
0.000 0.000 0.000 Bi
0.500 0.500 0.500 N
```

Summary:
* energy above the most stable polymorph in this dataset: 1.2492 eV/atom
* formation energy without anion corrections: 0.35 eV/atom

---

Crystalline ZrBiN3 at its relaxed geometry. Source: Alexandria via LeMat-Bulk, functional GGA-PBE.

Geometry as POSCAR:
```
ZrBiN3
1.0
4.168 0.000 0.000
0.000 4.168 0.000
0.000 0.000 4.168
Zr Bi N
1 1 3
Direct
0.000 0.000 0.000 Zr
0.500 0.500 0.500 Bi
0.000 0.500 0.500 N
0.500 0.000 0.500 N
0.500 0.500 0.000 N
```

Summary:
* formation energy without anion corrections: 1.25 eV/atom

---

Crystalline ZrBiN3 at its relaxed geometry. Source: Alexandria via LeMat-Bulk, functional GGA-PBE.

Geometry as POSCAR:
```
ZrBiN3
1.0
4.231 0.000 0.000
0.000 4.231 0.000
0.000 0.000 4.231
Zr Bi N
1 1 3
Direct
0.000 0.000 0.000 Zr
0.500 0.500 0.500 Bi
0.000 0.000 0.500 N
0.000 0.500 0.000 N
0.500 0.000 0.000 N
```

Summary:
* formation energy without anion corrections: 0.50 eV/atom

---

Crystalline Zr4BiN2 at its relaxed geometry. Source: Alexandria via LeMat-Bulk, functional GGA-PBE.

Geometry as POSCAR:
```
Zr4BiN2
1.0
-2.670 2.670 5.571
2.670 -2.670 5.571
2.670 2.670 -5.571
Zr Bi N
4 1 2
Direct
0.000 0.500 0.500 Zr
0.236 0.236 0.000 Zr
0.500 0.000 0.500 Zr
0.764 0.764 0.000 Zr
0.500 0.500 0.000 Bi
0.059 0.059 0.000 N
0.941 0.941 0.000 N
```

Summary:
* energy above the most stable polymorph in this dataset: 1.2716 eV/atom
* formation energy without anion corrections: 0.28 eV/atom

---

Crystalline Zr6Bi2N at its relaxed geometry. Source: Alexandria via LeMat-Bulk, functional GGA-PBE.

Geometry as POSCAR:
```
Zr6Bi2N
1.0
5.984 0.000 0.000
0.000 6.900 0.000
-5.610 0.000 9.498
Zr Bi N
12 4 2
Direct
0.123 0.012 0.238 Zr
0.123 0.488 0.738 Zr
0.180 0.704 0.026 Zr
0.180 0.796 0.526 Zr
0.362 0.184 0.024 Zr
0.362 0.316 0.524 Zr
0.638 0.684 0.476 Zr
0.638 0.816 0.976 Zr
0.820 0.204 0.474 Zr
0.820 0.296 0.974 Zr
0.877 0.512 0.262 Zr
0.877 0.988 0.762 Zr
0.339 0.096 0.748 Bi
0.339 0.404 0.248 Bi
0.661 0.596 0.752 Bi
0.661 0.904 0.252 Bi
0.000 0.000 0.000 N
0.000 0.500 0.500 N
```

Summary:
* formation energy without anion corrections: -0.48 eV/atom

---

Crystalline Zr2BiN at its relaxed geometry. Source: Alexandria via LeMat-Bulk, functional GGA-PBE.

Geometry as POSCAR:
```
Zr2BiN
1.0
-3.425 3.425 3.556
3.425 -3.425 3.556
3.425 3.425 -3.556
Zr Bi N
4 2 2
Direct
0.005 0.625 0.880 Zr
0.375 0.255 0.380 Zr
0.745 0.125 0.120 Zr
0.875 0.995 0.620 Zr
0.250 0.750 0.500 Bi
0.500 0.500 0.000 Bi
0.000 0.000 0.000 N
0.750 0.250 0.500 N
```

Summary:
* energy above the most stable polymorph in this dataset: 0.1261 eV/atom
* formation energy without anion corrections: -0.77 eV/atom

---

Crystalline ZrBi2N at its relaxed geometry. Source: Alexandria via LeMat-Bulk, functional GGA-PBE.

Geometry as POSCAR:
```
ZrBi2N
1.0
-3.530 3.530 3.696
3.530 -3.530 3.696
3.530 3.530 -3.696
Zr Bi N
2 4 2
Direct
0.000 0.000 0.000 Zr
0.750 0.250 0.500 Zr
0.203 0.625 0.078 Bi
0.375 0.453 0.578 Bi
0.547 0.125 0.922 Bi
0.875 0.797 0.422 Bi
0.250 0.750 0.500 N
0.500 0.500 0.000 N
```

Summary:
* formation energy without anion corrections: 0.65 eV/atom

---

Crystalline Zr4BiN2 at its relaxed geometry. Source: Alexandria via LeMat-Bulk, functional GGA-PBE.

Geometry as POSCAR:
```
Zr4BiN2
1.0
1.818 -5.638 0.000
1.818 5.638 0.000
0.000 0.000 11.791
Zr Bi N
8 2 4
Direct
0.000 0.000 0.000 Zr
0.000 0.000 0.500 Zr
0.253 0.747 0.598 Zr
0.253 0.747 0.902 Zr
0.410 0.590 0.250 Zr
0.590 0.410 0.750 Zr
0.747 0.253 0.098 Zr
0.747 0.253 0.402 Zr
0.111 0.889 0.250 Bi
0.889 0.111 0.750 Bi
0.366 0.634 0.062 N
0.366 0.634 0.438 N
0.634 0.366 0.562 N
0.634 0.366 0.938 N
```

Summary:
* energy above the most stable polymorph in this dataset: 0.0000 eV/atom
* formation energy without anion corrections: -0.99 eV/atom

---

Crystalline Zr2BiN at its relaxed geometry. Source: Alexandria via LeMat-Bulk, functional GGA-PBE.

Geometry as POSCAR:
```
Zr2BiN
1.0
1.756 1.014 7.018
-1.756 1.014 7.018
0.000 -2.028 7.018
Zr Bi N
2 1 1
Direct
0.219 0.219 0.219 Zr
0.781 0.781 0.781 Zr
0.000 0.000 0.000 Bi
0.500 0.500 0.500 N
```

Summary:
* energy above the most stable polymorph in this dataset: 0.0000 eV/atom
* formation energy without anion corrections: -0.90 eV/atom

---

Crystalline Na3Bi at its relaxed geometry. Source: Alexandria via LeMat-Bulk, functional GGA-PBE.

Geometry as POSCAR:
```
Na3Bi
1.0
-2.732 2.732 3.832
2.732 -2.732 3.832
2.732 2.732 -3.832
Na Bi
3 1
Direct
0.000 0.000 0.000 Na
0.250 0.750 0.500 Na
0.750 0.250 0.500 Na
0.500 0.500 0.000 Bi
```

Summary:
* energy above the most stable polymorph in this dataset: 0.0136 eV/atom
* ΔH_f (0 K): -0.36 eV/atom

---

Crystalline Na8Bi3 at its relaxed geometry. Source: Alexandria via LeMat-Bulk, functional GGA-PBE.

Geometry as POSCAR:
```
Na8Bi3
1.0
5.459 3.152 4.412
-5.459 3.152 4.412
0.000 -6.304 4.412
Na Bi
8 3
Direct
0.224 0.773 0.773 Na
0.226 0.226 0.226 Na
0.227 0.227 0.776 Na
0.227 0.776 0.227 Na
0.773 0.224 0.773 Na
0.773 0.773 0.224 Na
0.774 0.774 0.774 Na
0.776 0.227 0.227 Na
0.000 0.000 0.500 Bi
0.000 0.500 0.000 Bi
0.500 0.000 0.000 Bi
```

Summary:
* ΔH_f (0 K): -0.23 eV/atom

---

| no. | calculated volume (A^3/atom) | total moment (μB per atom) |
| --- | --- | --- |
| 1 | 29.9 | 0.000 |
| 2 | 19.9 | 0.000 |
| 3 | 13.3 | 0.246 |
| 4 | 18.3 | 0.437 |
| 5 | 17.2 | 0.000 |
| 6 | 15.9 | 0.000 |
| 7 | 21.9 | 0.000 |
| 8 | 19.3 | 0.000 |
| 9 | 22.1 | 0.000 |
| 10 | 19.2 | 0.000 |
| 11 | 14.5 | 0.000 |
| 12 | 15.2 | 0.349 |
| 13 | 22.7 | 0.000 |
| 14 | 21.8 | 0.000 |
| 15 | 20.9 | 0.000 |
| 16 | 23.0 | 0.000 |
| 17 | 17.3 | 0.000 |
| 18 | 18.7 | 0.000 |
| 19 | 28.6 | 0.000 |
| 20 | 41.4 | 0.001 |